# 1
Entry from the Open Quantum Materials Database: a geometry-optimized Hf2Zn structure (PBE).

a b c (Å): 5.665 5.665 5.665
angles (deg): 60.00 60.00 60.00
Sites, in units of the cell vectors:
Hf1 0.625 0.125 0.625
Hf2 0.125 0.625 0.625
Hf3 0.625 0.625 0.125
Hf4 0.625 0.625 0.625
Zn1 0.250 0.250 0.250
Zn2 0.000 0.000 0.000

Space-group type: Fd-3m (227)
Electronic total energy (eV per cell): -39.16
Crystal system: cubic
Calculated formation energy (meV per atom): 531

# 2
Entry from the Open Quantum Materials Database: a geometry-optimized HfZnAg2 structure (PBE).

a b c (Å): 4.636 4.636 4.636
angles (deg): 60.00 60.00 60.00
Sites, in units of the cell vectors:
Hf1 0.750 0.750 0.750
Ag1 0.000 0.000 0.000
Ag2 0.250 0.250 0.250
Zn1 0.500 0.500 0.500

Space-group type: F-43m (216)
Electronic total energy (eV per cell): -16.95
Crystal system: cubic
Calculated formation energy (meV per atom): -20

# 3
Entry from the Open Quantum Materials Database: a geometry-optimized PrTaNb structure (PBE).

a b c (Å): 4.750 4.750 4.750
angles (deg): 60.00 60.00 60.00
Sites, in units of the cell vectors:
Ta1 0.750 0.750 0.750
Pr1 0.250 0.250 0.250
Nb1 0.000 0.000 0.000

Space-group type: F-43m (216)
Electronic total energy (eV per cell): -23.88
Crystal system: cubic
Calculated formation energy (meV per atom): 948

# 4
Entry from the Open Quantum Materials Database: a geometry-optimized Tm2Ag2O5 structure (PBE).

a b c (Å): 8.442 4.008 4.008
angles (deg): 90.00 90.00 90.00
Sites, in units of the cell vectors:
Ag1 0.500 0.000 0.000
Ag2 0.000 0.000 0.000
Tm1 0.248 0.500 0.500
Tm2 0.752 0.500 0.500
O1 0.839 0.000 0.500
O2 0.839 0.500 0.000
O3 0.500 0.500 0.500
O4 0.161 0.000 0.500
O5 0.161 0.500 0.000

Space-group type: P4/mmm (123)
Energy relative to the lowest polymorph listed for this composition (meV/atom): 0.0
Electronic total energy (eV per cell): -54.52
Crystal system: tetragonal

# 5
Entry from the Open Quantum Materials Database: a geometry-optimized Na4Al2GaAg structure (PBE).

a b c (Å): 4.880 4.880 7.033
angles (deg): 90.00 90.00 90.00
Sites, in units of the cell vectors:
Na1 0.000 0.500 0.749
Na2 0.000 0.000 0.000
Na3 0.500 0.000 0.251
Na4 0.500 0.500 0.500
Ag1 0.000 0.000 0.500
Al1 0.500 0.000 0.752
Al2 0.000 0.500 0.248
Ga1 0.500 0.500 0.000

Space-group type: P-4m2 (115)
Electronic total energy (eV per cell): -18.25
Crystal system: tetragonal

# 6
Entry from the Open Quantum Materials Database: a geometry-optimized RbDyTeO structure (PBE).

a b c (Å): 8.066 8.066 8.066
angles (deg): 27.98 27.98 27.98
Sites, in units of the cell vectors:
O1 0.774 0.774 0.774
Dy1 0.480 0.480 0.480
Te1 0.233 0.233 0.233
Rb1 0.012 0.012 0.012

Space-group type: R3m (160)
Energy relative to the lowest polymorph listed for this composition (meV/atom): 341.7
Electronic total energy (eV per cell): -20.82
Crystal system: trigonal